VASP calculation (PBE-GGA) on a relaxed structure of Ho5MgFe2.

Computed properties:
DFT total energy	-41.26	eV per formula unit
magnetic moment	7.556	μB per cell
calculated volume	24.989	Å³/atom

Cell: 7.697 7.697 13.499 Å, 90.00 90.00 90.00°
Space group I4/mcm (No. 140)
One atom of each set of equivalent atoms:
Ho 0.000 0.000 0.000
Ho 0.165 0.335 0.134
Mg 0.000 0.000 0.250
Fe 0.114 0.386 0.500